Entry 1:
Here is a relaxed structure of InGeTe2I from the Alexandria database. Energies are from PBE-GGA.

Cell: 5.4705 5.4705 5.9725 Å, 90.00 90.00 90.00°
Closest atoms and distances in Å follow each position.
Sites, in units of the cell vectors:
Te: 0.5000 0.0000 0.0000  2 Ge 2.74
Te: 0.0000 0.5000 0.0000  2 Ge 2.74
Ge: 0.0000 0.0000 0.0000  4 Te 2.74, 2 I 2.99
I: 0.0000 0.0000 0.5000  2 Ge 2.99
In: 0.5000 0.5000 0.5000  4 I 3.87, 8 Te 4.05

Calculated values
* V: 178.7 Å³ per cell
* crystal system: tetragonal
* excess energy over the best structure of this formula in the dataset: 0.000 eV/atom
* ΔE_f (raw): 0.104 eV/atom

Entry 2:
Here is a relaxed structure of KNiMo from the Alexandria database. Energies are from PBE-GGA.

Cell: 4.8429 4.8429 4.8429 Å, 60.00 60.00 60.00°
Closest atoms and distances in Å follow each position.
Sites, in units of the cell vectors:
Ni: 0.5000 0.5000 0.5000  4 K 2.97
K: 0.2500 0.2500 0.2500  4 Mo 2.97, 4 Ni 2.97
Mo: 0.0000 0.0000 0.0000  4 K 2.97

Calculated values
* V: 80.3 Å³ per cell
* crystal system: cubic
* excess energy over the best structure of this formula in the dataset: 1.681 eV/atom
* energy relative to the elements: 2.479 eV/atom

Entry 3:
Here is a relaxed structure of CsTl2CdIr from the Alexandria database. Energies are from PBE-GGA.

Cell: 5.3651 5.3651 5.4771 Å, 90.00 90.00 90.00°
Closest atoms and distances in Å follow each position.
Sites, in units of the cell vectors:
Tl: 0.0000 0.5000 0.0000  2 Ir 2.68
Tl: 0.5000 0.0000 0.0000  2 Ir 2.68
Ir: 0.0000 0.0000 0.0000  4 Tl 2.68, 2 Cd 2.74
Cs: 0.5000 0.5000 0.5000  4 Cd 3.79, 8 Tl 3.83
Cd: 0.0000 0.0000 0.5000  2 Ir 2.74

Calculated values
* V: 157.7 Å³ per cell
* crystal system: tetragonal
* energy relative to the elements: -0.042 eV/atom

Entry 4:
Here is a relaxed structure of Mg2Ag2Au from the Alexandria database. Energies are from PBE-GGA.

Cell: 4.8546 5.7293 10.9226 Å, 42.05 77.16 64.93°
Closest atoms and distances in Å follow each position.
Sites, in units of the cell vectors:
Ag: 0.5940 0.0566 0.3484  5 Mg 2.85-3.06, 3 Ag 2.85-2.86, 3 Au 2.95-3.18
Ag: 0.0010 0.5566 0.8484  5 Mg 2.85-3.06, 3 Ag 2.85-2.86, 3 Au 2.95-3.18
Ag: 0.9990 0.4434 0.1516  5 Mg 2.85-3.06, 3 Ag 2.85-2.86, 3 Au 2.95-3.18
Ag: 0.4060 0.9434 0.6516  5 Mg 2.85-3.06, 3 Ag 2.85-2.86, 3 Au 2.95-3.18
Au: 0.2098 0.7500 0.2500  6 Mg 2.80-2.88, 4 Ag 2.95-3.09
Au: 0.7902 0.2500 0.7500  6 Mg 2.80-2.88, 4 Ag 2.95-3.09
Mg: 0.8064 0.3594 0.4526  3 Au 2.80-2.88, 5 Ag 2.85-3.06, 3 Mg 3.06-3.09
Mg: 0.3816 0.8594 0.9526  3 Au 2.80-2.88, 5 Ag 2.85-3.06, 3 Mg 3.06-3.09
Mg: 0.6184 0.1406 0.0474  3 Au 2.80-2.88, 5 Ag 2.85-3.06, 3 Mg 3.06-3.09
Mg: 0.1936 0.6406 0.5474  3 Au 2.80-2.88, 5 Ag 2.85-3.06, 3 Mg 3.06-3.09

Calculated values
* V: 182.2 Å³ per cell
* crystal system: monoclinic
* excess energy over the best structure of this formula in the dataset: 0.000 eV/atom
* energy relative to the elements: -0.302 eV/atom

Entry 5:
Here is a relaxed structure of CsPtBr4 from the Alexandria database. Energies are from PBE-GGA.

Cell: 7.1584 7.1584 12.0379 Å, 66.05 66.05 66.12°
Closest atoms and distances in Å follow each position.
Sites, in units of the cell vectors:
Br: 0.8912 0.9436 0.1669  1 Pt 2.43
Br: 0.3855 0.4502 0.6666  1 Pt 2.43
Br: 0.9436 0.8912 0.6669  1 Pt 2.43
Br: 0.0564 0.1088 0.3331  1 Pt 2.43
Br: 0.1088 0.0564 0.8331  1 Pt 2.43
Br: 0.5498 0.6145 0.8334  1 Pt 2.43
Br: 0.6145 0.5498 0.3334  1 Pt 2.43
Br: 0.4502 0.3855 0.1666  1 Pt 2.43
Pt: 0.2468 0.7532 0.7500  4 Br 2.43
Pt: 0.7532 0.2468 0.2500  4 Br 2.43
Cs: 0.0000 0.5000 0.5000  12 Br 3.86-4.15
Cs: 0.5000 0.0000 0.0000  12 Br 3.86-4.15

Calculated values
* V: 493.5 Å³ per cell
* crystal system: monoclinic
* ΔE_f (raw): -0.720 eV/atom

Entry 6:
Here is a relaxed structure of Tm2Sc5Tc2Ag from the Alexandria database. Energies are from PBE-GGA.

Cell: 3.8140 10.8333 10.8333 Å, 90.00 90.00 90.00°
Closest atoms and distances in Å follow each position.
Sites, in units of the cell vectors:
Sc: 0.5000 0.5711 0.7099  2 Tc 2.68
Sc: 0.5000 0.5000 0.0000  4 Tc 2.70
Sc: 0.5000 0.9289 0.2099  2 Tc 2.68
Sc: 0.5000 0.2099 0.0711  2 Tc 2.68
Sc: 0.5000 0.0000 0.5000  4 Tc 2.70
Sc: 0.5000 0.4289 0.2901  2 Tc 2.68
Sc: 0.5000 0.7901 0.9289  2 Tc 2.68
Sc: 0.5000 0.0711 0.7901  2 Tc 2.68
Sc: 0.5000 0.2901 0.5711  2 Tc 2.68
Sc: 0.5000 0.7099 0.4289  2 Tc 2.68
Tc: 0.0000 0.1244 0.6244  6 Sc 2.68-2.70
Tc: 0.0000 0.3756 0.1244  6 Sc 2.68-2.70
Tc: 0.0000 0.6244 0.8756  6 Sc 2.68-2.70
Tc: 0.0000 0.8756 0.3756  6 Sc 2.68-2.70
Ag: 0.0000 0.5000 0.5000  8 Sc 3.07
Ag: 0.0000 0.0000 0.0000  8 Sc 3.07
Tm: 0.0000 0.8267 0.6733  3 Tc 3.10-3.27, 6 Sc 3.27-3.39
Tm: 0.0000 0.1733 0.3267  3 Tc 3.10-3.27, 6 Sc 3.27-3.39
Tm: 0.0000 0.6733 0.1733  3 Tc 3.10-3.27, 6 Sc 3.27-3.39
Tm: 0.0000 0.3267 0.8267  3 Tc 3.10-3.27, 6 Sc 3.27-3.39

Calculated values
* V: 447.6 Å³ per cell
* crystal system: tetragonal
* energy relative to the elements: -0.162 eV/atom

Entry 7:
Here is a relaxed structure of Cr3As5 from the Alexandria database. Energies are from PBE-GGA.

Cell: 7.7778 7.7778 5.1322 Å, 90.00 90.00 120.00°
Closest atoms and distances in Å follow each position.
Sites, in units of the cell vectors:
Cr: 0.6165 0.0000 0.2500  9 As 2.65-2.74
Cr: 0.3835 0.3835 0.2500  9 As 2.65-2.74
Cr: 0.6165 0.6165 0.7500  9 As 2.65-2.74
Cr: 0.0000 0.3835 0.7500  9 As 2.65-2.74
Cr: 0.3835 0.0000 0.7500  9 As 2.65-2.74
Cr: 0.0000 0.6165 0.2500  9 As 2.65-2.74
As: 0.6667 0.3333 0.0000  2 As 2.57, 6 Cr 2.74
As: 0.6667 0.3333 0.5000  2 As 2.57, 6 Cr 2.74
As: 0.0000 0.7334 0.7500  5 Cr 2.65-2.72
As: 0.7334 0.7334 0.2500  5 Cr 2.65-2.72
As: 0.3333 0.6667 0.5000  2 As 2.57, 6 Cr 2.74
As: 0.2666 0.2666 0.7500  5 Cr 2.65-2.72
As: 0.7334 0.0000 0.7500  5 Cr 2.65-2.72
As: 0.2666 0.0000 0.2500  5 Cr 2.65-2.72
As: 0.0000 0.2666 0.2500  5 Cr 2.65-2.72
As: 0.3333 0.6667 0.0000  2 As 2.57, 6 Cr 2.74

Calculated values
* V: 268.9 Å³ per cell
* crystal system: hexagonal
* excess energy over the best structure of this formula in the dataset: 0.161 eV/atom
* energy relative to the elements: 0.175 eV/atom

no.,total magnetization (μB per formula unit),D(E_F) (states/eV/f.u.)
1,0.0,4.3
2,4.6,2.3
3,0.0,1.1
4,0.0,1.4
5,0.0,5.5
6,0.0,10.0
7,7.8,6.6